DFT (GGA-PBE) results for Co2NiSnN after structural relaxation.

* raw formation energy: 0.01 eV/atom
* volume: 11.564 Å³ per atom
* VASP energy: -6.456 eV per atom

CIF file:
```
data_Co2NiSnN
_cell_length_a 3.834
_cell_length_b 3.834
_cell_length_c 3.933
_cell_angle_alpha 90.00
_cell_angle_beta 90.00
_cell_angle_gamma 90.00
_symmetry_space_group_name_H-M 'P 1'
_symmetry_Int_Tables_number 1
loop_
_symmetry_equiv_pos_as_xyz
'x,y,z'
loop_
_atom_site_label
_atom_site_fract_x
_atom_site_fract_y
_atom_site_fract_z
_atom_site_occupancy
Ni1 0.000 0.000 0.500 1
Co1 0.000 0.500 0.000 1
Co2 0.500 0.000 0.000 1
Sn1 0.500 0.500 0.500 1
N1 0.000 0.000 0.000 1
```

DFT (GGA-PBE) results for CoTc2NiN after structural relaxation.

* raw formation energy: 0.09 eV/atom
* volume: 11.791 Å³ per atom
* VASP energy: -8.295 eV per atom

CIF file:
```
data_CoTc2NiN
_cell_length_a 3.983
_cell_length_b 3.983
_cell_length_c 3.716
_cell_angle_alpha 90.00
_cell_angle_beta 90.00
_cell_angle_gamma 90.00
_symmetry_space_group_name_H-M 'P 1'
_symmetry_Int_Tables_number 1
loop_
_symmetry_equiv_pos_as_xyz
'x,y,z'
loop_
_atom_site_label
_atom_site_fract_x
_atom_site_fract_y
_atom_site_fract_z
_atom_site_occupancy
Ni1 0.500 0.500 0.500 1
Co1 0.000 0.000 0.500 1
Tc1 0.000 0.500 0.000 1
Tc2 0.500 0.000 0.000 1
N1 0.000 0.000 0.000 1
```

DFT (GGA-PBE) results for Co2TcNiN after structural relaxation.

* raw formation energy: 0.09 eV/atom
* volume: 11.098 Å³ per atom
* VASP energy: -7.646 eV per atom

CIF file:
```
data_Co2TcNiN
_cell_length_a 3.744
_cell_length_b 3.744
_cell_length_c 3.958
_cell_angle_alpha 90.00
_cell_angle_beta 90.00
_cell_angle_gamma 90.00
_symmetry_space_group_name_H-M 'P 1'
_symmetry_Int_Tables_number 1
loop_
_symmetry_equiv_pos_as_xyz
'x,y,z'
loop_
_atom_site_label
_atom_site_fract_x
_atom_site_fract_y
_atom_site_fract_z
_atom_site_occupancy
Ni1 0.500 0.500 0.500 1
Co1 0.000 0.500 0.000 1
Co2 0.500 0.000 0.000 1
Tc1 0.000 0.000 0.500 1
N1 0.000 0.000 0.000 1
```

DFT (GGA-PBE) results for TlCo2NiN after structural relaxation.

* raw formation energy: 0.16 eV/atom
* volume: 11.790 Å³ per atom
* VASP energy: -5.979 eV per atom

CIF file:
```
data_TlCo2NiN
_cell_length_a 3.851
_cell_length_b 3.851
_cell_length_c 3.975
_cell_angle_alpha 90.00
_cell_angle_beta 90.00
_cell_angle_gamma 90.00
_symmetry_space_group_name_H-M 'P 1'
_symmetry_Int_Tables_number 1
loop_
_symmetry_equiv_pos_as_xyz
'x,y,z'
loop_
_atom_site_label
_atom_site_fract_x
_atom_site_fract_y
_atom_site_fract_z
_atom_site_occupancy
Ni1 0.000 0.000 0.500 1
Tl1 0.500 0.500 0.500 1
Co1 0.000 0.500 0.000 1
Co2 0.500 0.000 0.000 1
N1 0.000 0.000 0.000 1
```